A plane-wave DFT calculation with GGA+U was carried out for a geometry-optimized Ba3Fe5F12 structure.

Results
As for the space group: No. 230. The energy is -418.587 eV per cell. The calculation puts the density at 4.4 g/cm3.

abc: 12.140 12.140 12.140
angles: 109.47 109.47 109.47
Each line ends with the local moment (μB).
Sites, in units of the cell vectors:
1 F 0.304 0.419 0.835  0.02
2 F 0.415 0.030 0.335  0.02
3 F 0.581 0.885 0.415  0.02
4 F 0.665 0.196 0.581  0.02
5 F 0.615 0.030 0.196  0.02
6 F 0.030 0.615 0.696  0.02
7 F 0.385 0.970 0.804  0.02
8 F 0.585 0.970 0.665  0.02
9 F 0.970 0.385 0.304  0.02
10 F 0.470 0.665 0.085  0.02
11 F 0.165 0.081 0.696  0.02
12 F 0.915 0.081 0.885  0.02
13 F 0.415 0.385 0.581  0.02
14 F 0.115 0.696 0.530  0.02
15 F 0.419 0.304 0.335  0.02
16 F 0.335 0.804 0.419  0.02
17 F 0.804 0.335 0.919  0.02
18 F 0.196 0.665 0.081  0.02
19 F 0.919 0.835 0.804  0.02
20 F 0.885 0.304 0.470  0.02
21 F 0.835 0.915 0.030  0.02
22 F 0.085 0.165 0.470  0.02
23 F 0.696 0.581 0.165  0.02
24 F 0.615 0.585 0.919  0.02
25 F 0.470 0.804 0.885  0.02
26 F 0.915 0.835 0.530  0.02
27 F 0.115 0.419 0.085  0.02
28 F 0.030 0.415 0.835  0.02
29 F 0.335 0.530 0.415  0.02
30 F 0.385 0.415 0.081  0.02
31 F 0.081 0.165 0.196  0.02
32 F 0.085 0.919 0.115  0.02
33 F 0.581 0.696 0.665  0.02
34 F 0.081 0.915 0.385  0.02
35 F 0.970 0.585 0.165  0.02
36 F 0.885 0.581 0.915  0.02
37 F 0.304 0.885 0.970  0.02
38 F 0.530 0.196 0.115  0.02
39 F 0.196 0.530 0.615  0.02
40 F 0.165 0.085 0.970  0.02
41 F 0.835 0.919 0.304  0.02
42 F 0.419 0.115 0.585  0.02
43 F 0.665 0.470 0.585  0.02
44 F 0.696 0.115 0.030  0.02
45 F 0.804 0.470 0.385  0.02
46 F 0.585 0.615 0.419  0.02
47 F 0.530 0.335 0.915  0.02
48 F 0.919 0.085 0.615  0.02
49 Ba 0.125 0.875 0.750  0.00
50 Ba 0.625 0.375 0.750  0.00
51 Ba 0.375 0.750 0.625  0.00
52 Ba 0.125 0.250 0.875  0.00
53 Ba 0.750 0.375 0.125  0.00
54 Ba 0.750 0.875 0.625  0.00
55 Ba 0.250 0.625 0.875  0.00
56 Ba 0.875 0.125 0.250  0.00
57 Ba 0.250 0.125 0.375  0.00
58 Ba 0.625 0.250 0.375  0.00
59 Ba 0.375 0.625 0.250  0.00
60 Ba 0.875 0.750 0.125  0.00
61 Fe 0.625 0.875 0.250  2.89
62 Fe 0.875 0.625 0.750  2.89
63 Fe 0.375 0.125 0.750  2.89
64 Fe 0.125 0.750 0.375  2.89
65 Fe 0.625 0.750 0.875  2.89
66 Fe 0.125 0.375 0.250  2.89
67 Fe 0.500 0.500 0.000  3.81
68 Fe 0.000 0.000 0.500  3.81
69 Fe 0.875 0.250 0.625  2.89
70 Fe 0.500 0.500 0.500  3.81
71 Fe 0.000 0.000 0.000  3.81
72 Fe 0.500 0.000 0.500  3.81
73 Fe 0.750 0.125 0.875  2.89
74 Fe 0.250 0.875 0.125  2.89
75 Fe 0.000 0.500 0.500  3.81
76 Fe 0.750 0.625 0.375  2.89
77 Fe 0.375 0.250 0.125  2.89
78 Fe 0.250 0.375 0.625  2.89
79 Fe 0.500 0.000 0.000  3.81
80 Fe 0.000 0.500 0.000  3.81